Entry from the Alexandria database: a crystal of ScSi4Os relaxed with PBEsol (meta-GGA SCAN).

Cell lengths 4.903, 4.903, 4.903 Å; angles 60.00, 60.00, 60.00 degrees
Positions (direct):
Sc 0.000 0.000 0.000
Si 0.375 0.375 0.375
Si 0.375 0.375 0.875
Si 0.375 0.875 0.375
Si 0.875 0.375 0.375
Os 0.750 0.750 0.750

Computed properties:
E = -0.7621 hartree per atom
formation energy (no corrections) = 0.292 eV per atom
space group = F-43m (216)

---

Entry from the Alexandria database: a crystal of H2WSe relaxed with PBEsol (meta-GGA SCAN).

Cell lengths 3.812, 3.812, 3.812 Å; angles 60.00, 60.00, 60.00 degrees
Positions (direct):
H 0.250 0.250 0.250
H 0.750 0.750 0.750
W 0.000 0.000 0.000
Se 0.500 0.500 0.500

Computed properties:
E = -0.8367 hartree per atom
space group = Fm-3m (225)

---

Entry from the Alexandria database: a crystal of In2HgRh2 relaxed with PBEsol (meta-GGA SCAN).

Cell lengths 7.478, 7.478, 3.175 Å; angles 90.00, 90.00, 90.00 degrees
Positions (direct):
In 0.153 0.347 0.000
In 0.347 0.847 0.000
In 0.653 0.153 0.000
In 0.847 0.653 0.000
Hg 0.000 0.000 0.500
Hg 0.500 0.500 0.500
Rh 0.145 0.645 0.500
Rh 0.355 0.145 0.500
Rh 0.645 0.855 0.500
Rh 0.855 0.355 0.500

Computed properties:
calculated formation energy = -1.385 eV/f.u.
E = -1.4984 hartree per atom
space group = P4/mbm (127)

---

Entry from the Alexandria database: a crystal of LaSc2Ni relaxed with PBEsol (meta-GGA SCAN).

Cell lengths 3.232, 3.232, 8.305 Å; angles 90.00, 90.00, 90.00 degrees
Positions (direct):
La 0.000 0.000 0.000
Sc 0.500 0.500 0.323
Sc 0.500 0.500 0.677
Ni 0.000 0.000 0.500

Computed properties:
excess energy over the best structure of this formula in the dataset = 0 meV/atom
calculated formation energy = -0.866 eV/f.u.
E = -0.8142 hartree per atom
space group = P4/mmm (123)

---

Entry from the Alexandria database: a crystal of YZnPd relaxed with PBEsol (meta-GGA SCAN).

Cell lengths 6.927, 4.046, 8.057 Å; angles 90.00, 90.00, 90.00 degrees
Positions (direct):
Y 0.047 0.250 0.190
Y 0.453 0.750 0.690
Y 0.547 0.250 0.310
Y 0.953 0.750 0.810
Zn 0.135 0.250 0.565
Zn 0.365 0.750 0.065
Zn 0.635 0.250 0.935
Zn 0.865 0.750 0.435
Pd 0.249 0.750 0.382
Pd 0.251 0.250 0.882
Pd 0.749 0.750 0.118
Pd 0.751 0.250 0.618

Computed properties:
calculated formation energy = -2.532 eV/f.u.
E = -0.9391 hartree per atom
space group = Pnma (62)

---

Entry from the Alexandria database: a crystal of Sr2NiP2O8 relaxed with PBEsol (meta-GGA SCAN).

Cell lengths 11.622, 9.946, 8.979 Å; angles 90.00, 97.35, 90.00 degrees
Positions (direct):
Sr 0.005 0.117 0.304
Sr 0.005 0.383 0.804
Sr 0.312 0.227 0.661
Sr 0.312 0.273 0.161
Sr 0.346 0.650 0.333
Sr 0.346 0.850 0.833
Sr 0.654 0.150 0.167
Sr 0.654 0.350 0.667
Sr 0.688 0.727 0.839
Sr 0.688 0.773 0.339
Sr 0.995 0.617 0.196
Sr 0.995 0.883 0.696
Ni 0.176 0.608 0.626
Ni 0.176 0.892 0.126
Ni 0.500 0.000 0.500
Ni 0.500 0.500 0.000
Ni 0.824 0.108 0.874
Ni 0.824 0.392 0.374
P 0.125 0.101 0.937
P 0.125 0.399 0.437
P 0.214 0.575 0.007
P 0.214 0.925 0.507
P 0.457 0.567 0.712
P 0.457 0.933 0.212
P 0.543 0.067 0.788
P 0.543 0.433 0.288
P 0.786 0.075 0.493
P 0.786 0.425 0.993
P 0.875 0.601 0.563
P 0.875 0.899 0.063
O 0.000 0.132 0.866
O 0.000 0.368 0.366
O 0.000 0.632 0.634
O 0.000 0.868 0.134
O 0.126 0.038 0.527
O 0.126 0.462 0.027
O 0.143 0.102 0.113
O 0.143 0.398 0.613
O 0.156 0.547 0.398
O 0.156 0.953 0.898
O 0.185 0.689 0.116
O 0.185 0.811 0.616
O 0.205 0.208 0.884
O 0.205 0.292 0.384
O 0.207 0.634 0.849
O 0.207 0.866 0.349
O 0.337 0.519 0.066
O 0.337 0.981 0.566
O 0.348 0.616 0.610
O 0.348 0.884 0.110
O 0.435 0.082 0.869
O 0.435 0.418 0.369
O 0.444 0.078 0.272
O 0.444 0.422 0.772
O 0.478 0.656 0.859
O 0.478 0.844 0.359
O 0.522 0.156 0.641
O 0.522 0.344 0.141
O 0.556 0.578 0.228
O 0.556 0.922 0.728
O 0.565 0.582 0.631
O 0.565 0.918 0.131
O 0.652 0.116 0.890
O 0.652 0.384 0.390
O 0.663 0.019 0.434
O 0.663 0.481 0.934
O 0.793 0.134 0.651
O 0.793 0.366 0.151
O 0.795 0.708 0.616
O 0.795 0.792 0.116
O 0.815 0.189 0.384
O 0.815 0.311 0.884
O 0.844 0.047 0.102
O 0.844 0.453 0.602
O 0.857 0.602 0.387
O 0.857 0.898 0.887
O 0.874 0.538 0.973
O 0.874 0.962 0.473

Computed properties:
E = -0.4750 hartree per atom
formation energy (no corrections) = -2.821 eV per atom
space group = P2_1/c (14)